Material: Be2CdPd2
Method: DFT, SCAN
State: PBEsol geometry

Calculated values
- distance to the lowest polymorph of the same formula (meV per atom) = 0
- formation enthalpy at 0 K (meV per atom) = -508
- VASP energy (eV/atom) = -21.44

Cell: 2.7930 6.7126 6.7126 Å, 90.00 90.00 90.00°
With the nearest neighbours (Å) after each atom.
Sites, in units of the cell vectors:
Pd 0.5000 0.3383 0.1617  6 Be 2.39-2.46
Pd 0.5000 0.1617 0.6617  6 Be 2.39-2.46
Pd 0.5000 0.8383 0.3383  6 Be 2.39-2.46
Pd 0.5000 0.6617 0.8383  6 Be 2.39-2.46
Cd 0.0000 0.0000 0.0000  4 Be 2.65, 2 Cd 2.79, 8 Pd 2.88
Cd 0.0000 0.5000 0.5000  4 Be 2.65, 2 Cd 2.79, 8 Pd 2.88
Be 0.0000 0.8746 0.6254  1 Be 2.38, 6 Pd 2.39-2.46, 2 Cd 2.65
Be 0.0000 0.1254 0.3746  1 Be 2.38, 6 Pd 2.39-2.46, 2 Cd 2.65
Be 0.0000 0.6254 0.1254  1 Be 2.38, 6 Pd 2.39-2.46, 2 Cd 2.65
Be 0.0000 0.3746 0.8746  1 Be 2.38, 6 Pd 2.39-2.46, 2 Cd 2.65